This record from Alexandria describes a relaxed structure of HoHfCdHg. The functional is PBE.

## Properties
**Crystal system**: cubic
**SG**: F-43m (216)
**ΔE_f**: -0.110 eV/atom
**Magnetic moment**: 0.96 Bohr magnetons per cell

abc: 5.0892 5.0892 5.0892
angles: 60.00 60.00 60.00
Positions (direct):
Cd1 0.7500 0.7500 0.7500
Hf1 0.0000 0.0000 0.0000
Hg1 0.2500 0.2500 0.2500
Ho1 0.5000 0.5000 0.5000

This record from Alexandria describes a relaxed structure of Na2CaSc. The functional is PBE.

## Properties
**Crystal system**: tetragonal
**SG**: I-42d (122)
**Energy relative to the lowest polymorph listed for this composition**: 159 meV per atom
**ΔE_f**: 0.545 eV/atom
**Magnetic moment**: 0.00 Bohr magnetons per cell

abc: 8.9863 8.9863 7.2046
angles: 51.42 51.42 90.00
Positions (direct):
Sc1 0.0000 0.0000 0.0000
Sc2 0.7500 0.2500 0.5000
Na1 0.6338 0.1250 0.2500
Na2 0.1162 0.6250 0.2500
Na3 0.3750 0.3662 0.7500
Na4 0.8750 0.8838 0.7500
Ca1 0.5000 0.5000 0.0000
Ca2 0.2500 0.7500 0.5000

This record from Alexandria describes a relaxed structure of La2SbRh6. The functional is PBE.

## Properties
**Crystal system**: monoclinic
**Formation energy from raw total energies**: -0.574 eV/atom
**SG**: C2/m (12)
**Magnetic moment**: 0.00 Bohr magnetons per cell

abc: 5.7001 5.6658 6.4010
angles: 78.13 90.00 120.20
Positions (direct):
La1 0.6380 0.2761 0.1815
La2 0.3620 0.7239 0.8185
Sb1 0.0000 0.0000 0.0000
Rh1 0.8814 0.2844 0.6750
Rh2 0.8873 0.7746 0.6658
Rh3 0.4031 0.2844 0.6750
Rh4 0.1186 0.7156 0.3250
Rh5 0.1127 0.2254 0.3342
Rh6 0.5969 0.7156 0.3250

This record from Alexandria describes a relaxed structure of Nd2HgCl. The functional is PBE.

## Properties
**Crystal system**: trigonal
**Formation energy from raw total energies**: -0.887 eV/atom
**SG**: R3m (160)
**Energy relative to the lowest polymorph listed for this composition**: 11 meV per atom
**Magnetic moment**: 0.00 Bohr magnetons per cell

abc: 3.7345 3.7345 9.4374
angles: 78.59 78.59 60.00
Positions (direct):
Nd1 0.0868 0.0868 0.7395
Nd2 0.2465 0.2465 0.2605
Hg1 0.6667 0.6667 0.9999
Cl1 0.5000 0.5000 0.5001

This record from Alexandria describes a relaxed structure of Tb6Nd16Er7. The functional is PBE.

## Properties
**Crystal system**: cubic
**SG**: Fm-3m (225)
**ΔE_f**: 0.204 eV/atom
**Magnetic moment**: 0.00 Bohr magnetons per cell

abc: 11.3051 11.3051 11.3051
angles: 60.00 60.00 60.00
Positions (direct):
Tb1 0.2661 0.7339 0.2661
Tb2 0.7339 0.2661 0.7339
Tb3 0.7339 0.2661 0.2661
Tb4 0.2661 0.7339 0.7339
Tb5 0.7339 0.7339 0.2661
Tb6 0.2661 0.2661 0.7339
Nd1 0.8748 0.8748 0.3757
Nd2 0.8748 0.8748 0.8748
Nd3 0.8748 0.3757 0.8748
Nd4 0.3757 0.8748 0.8748
Nd5 0.1252 0.1252 0.1252
Nd6 0.1252 0.1252 0.6243
Nd7 0.1252 0.6243 0.1252
Nd8 0.6243 0.1252 0.1252
Nd9 0.6492 0.6492 0.0523
Nd10 0.6492 0.6492 0.6492
Nd11 0.6492 0.0523 0.6492
Nd12 0.0523 0.6492 0.6492
Nd13 0.3508 0.3508 0.3508
Nd14 0.3508 0.3508 0.9477
Nd15 0.3508 0.9477 0.3508
Nd16 0.9477 0.3508 0.3508
Er1 0.0000 0.0000 0.0000
Er2 0.5000 0.0000 0.5000
Er3 0.0000 0.5000 0.0000
Er4 0.0000 0.5000 0.5000
Er5 0.5000 0.0000 0.0000
Er6 0.0000 0.0000 0.5000
Er7 0.5000 0.5000 0.0000

This record from Alexandria describes a relaxed structure of Pr2PaTe5. The functional is PBE.

## Properties
**Crystal system**: orthorhombic
**Formation energy from raw total energies**: -1.159 eV/atom
**SG**: Pbam (55)
**Energy relative to the lowest polymorph listed for this composition**: 0 meV per atom
**Magnetic moment**: 1.76 Bohr magnetons per cell

abc: 4.3761 8.9226 13.6474
angles: 90.00 90.00 90.00
Positions (direct):
Pr1 0.5000 0.5292 0.1768
Pr2 0.5000 0.4708 0.8232
Pr3 0.5000 0.9708 0.6768
Pr4 0.5000 0.0292 0.3232
Pa1 0.0000 0.5000 0.5000
Pa2 0.0000 0.0000 0.0000
Te1 0.0000 0.0000 0.5000
Te2 0.0000 0.5000 0.0000
Te3 0.0000 0.8213 0.1948
Te4 0.0000 0.1787 0.8052
Te5 0.0000 0.6787 0.6948
Te6 0.0000 0.3213 0.3052
Te7 0.5000 0.6760 0.3980
Te8 0.5000 0.3240 0.6020
Te9 0.5000 0.8240 0.8980
Te10 0.5000 0.1760 0.1020

Question: Number 2 is which compound?
Answer: Na2CaSc